First-principles (PBE-GGA) data for crystalline LaRu3Se at its relaxed geometry, as listed in Alexandria via LeMat-Bulk.

Uncorrected formation energy ... 1.853 eV/atom
ΔE to the lowest computed polymorph ... 1649 meV per atom

abc: 4.8813 4.8813 4.8813
angles: 90.00 90.00 90.00
Positions (direct):
La: 0.0000 0.0000 0.0000
Ru: 0.0000 0.0000 0.5000
Ru: 0.0000 0.5000 0.0000
Ru: 0.5000 0.0000 0.0000
Se: 0.5000 0.5000 0.5000

***

First-principles (PBE-GGA) data for crystalline La2Ru2Se at its relaxed geometry, as listed in Alexandria via LeMat-Bulk.

Uncorrected formation energy ... -0.555 eV/atom
ΔE to the lowest computed polymorph ... 0 meV per atom

abc: 3.7827 3.7827 16.6343
angles: 90.00 90.00 90.00
Positions (direct):
La: 0.0000 0.0000 0.1129
La: 0.0000 0.0000 0.8871
La: 0.5000 0.5000 0.3871
La: 0.5000 0.5000 0.6129
Ru: 0.0000 0.5000 0.2500
Ru: 0.0000 0.5000 0.7500
Ru: 0.5000 0.0000 0.2500
Ru: 0.5000 0.0000 0.7500
Se: 0.0000 0.0000 0.5000
Se: 0.5000 0.5000 0.0000

***

First-principles (PBE-GGA) data for crystalline LaRu2Se at its relaxed geometry, as listed in Alexandria via LeMat-Bulk.

Uncorrected formation energy ... 0.040 eV/atom

abc: 3.2780 4.5635 5.0162
angles: 90.00 90.00 90.00
Positions (direct):
La: 0.0000 0.0000 0.0000
Ru: 0.0000 0.5000 0.5000
Ru: 0.5000 0.5000 0.0000
Se: 0.5000 0.0000 0.5000

***

First-principles (PBE-GGA) data for crystalline LaRu3Se at its relaxed geometry, as listed in Alexandria via LeMat-Bulk.

Uncorrected formation energy ... 0.205 eV/atom
ΔE to the lowest computed polymorph ... 0 meV per atom

abc: 4.6266 4.6266 4.6266
angles: 90.00 90.00 90.00
Positions (direct):
La: 0.0000 0.0000 0.0000
Ru: 0.0000 0.5000 0.5000
Ru: 0.5000 0.0000 0.5000
Ru: 0.5000 0.5000 0.0000
Se: 0.5000 0.5000 0.5000

***

First-principles (PBE-GGA) data for crystalline LaRu2Se at its relaxed geometry, as listed in Alexandria via LeMat-Bulk.

Uncorrected formation energy ... -0.018 eV/atom

abc: 3.3074 4.7342 9.5418
angles: 90.00 90.00 90.00
Positions (direct):
La: 0.0000 0.0000 0.0000
La: 0.5000 0.5000 0.5000
Ru: 0.0000 0.0000 0.5214
Ru: 0.0000 0.5000 0.7783
Ru: 0.5000 0.0000 0.2783
Ru: 0.5000 0.5000 0.0214
Se: 0.0000 0.5000 0.2300
Se: 0.5000 0.0000 0.7300

***

First-principles (PBE-GGA) data for crystalline LaRu2Se at its relaxed geometry, as listed in Alexandria via LeMat-Bulk.

Uncorrected formation energy ... -0.032 eV/atom

abc: 4.4657 5.2321 6.8449
angles: 90.00 90.00 90.00
Positions (direct):
La: 0.0000 0.0000 0.0000
La: 0.5000 0.5000 0.0000
Ru: 0.0000 0.0000 0.4647
Ru: 0.0000 0.5000 0.3105
Ru: 0.5000 0.0000 0.3105
Ru: 0.5000 0.5000 0.4647
Se: 0.0000 0.5000 0.7099
Se: 0.5000 0.0000 0.7099

***

Repeat the second record exactly.
First-principles (PBE-GGA) data for crystalline La2Ru2Se at its relaxed geometry, as listed in Alexandria via LeMat-Bulk.

Uncorrected formation energy ... -0.555 eV/atom
ΔE to the lowest computed polymorph ... 0 meV per atom

abc: 3.7827 3.7827 16.6343
angles: 90.00 90.00 90.00
Positions (direct):
La: 0.0000 0.0000 0.1129
La: 0.0000 0.0000 0.8871
La: 0.5000 0.5000 0.3871
La: 0.5000 0.5000 0.6129
Ru: 0.0000 0.5000 0.2500
Ru: 0.0000 0.5000 0.7500
Ru: 0.5000 0.0000 0.2500
Ru: 0.5000 0.0000 0.7500
Se: 0.0000 0.0000 0.5000
Se: 0.5000 0.5000 0.0000